! TaTlO2 | Alexandria | PBE | relaxed; values from VASP
! Size of the total moment   0.2095 μB/atom
! Excess energy over the best structure of this formula in the dataset   136.70 kJ/mol of atoms
&SYSTEM
  ibrav = 0, nat = 4, ntyp = 3
/
ATOMIC_SPECIES
Ta 180.95 Ta.upf
Tl 204.38 Tl.upf
O 16.00 O.upf
CELL_PARAMETERS angstrom
0.000 2.970 2.970
2.970 0.000 2.970
2.970 2.970 0.000
ATOMIC_POSITIONS crystal
Ta 0.000 0.000 0.000
Tl 0.500 0.500 0.500
O 0.250 0.250 0.250
O 0.750 0.750 0.750